1.
Material: SnSeS2
Method: DFT, PBE
State: relaxed

Computed properties:
- total magnetization (μB per formula unit) = 0.0
- ΔE_f (raw) (meV per atom) = -142
- raw total energy (eV/atom) = -4.078

a = 4.014 Å, b = 5.104 Å, c = 11.722 Å
α = 79.82°, β = 89.55°, γ = 89.95°
Space group P-1 (No. 2)
Asymmetric unit:
1 Sn 0.247 0.298 0.128
2 Se 0.253 0.313 0.890
3 S 0.247 0.854 0.608
4 S 0.249 0.223 0.545

***

2.
Material: Sn2SeS2
Method: DFT, PBE
State: relaxed

Computed properties:
- total magnetization (μB per formula unit) = 0.0
- ΔE_f (raw) (meV per atom) = -158
- raw total energy (eV/atom) = -4.107

a = 5.456 Å, b = 5.456 Å, c = 8.233 Å
α = 90.00°, β = 90.00°, γ = 90.00°
Space group I4/mmm (No. 139)
Asymmetric unit:
1 Sn 0.000 0.500 0.250
2 Se 0.000 0.000 0.000
3 S 0.000 0.000 0.372

***

3.
Material: SnSe2S
Method: DFT, PBE
State: relaxed

Computed properties:
- total magnetization (μB per formula unit) = 0.0
- ΔE_f (raw) (meV per atom) = 57
- raw total energy (eV/atom) = -3.718

a = 4.0995 Å, b = 4.0995 Å, c = 23.7937 Å
α = 90.00°, β = 90.00°, γ = 120.00°
Space group R-3m (No. 166, hexagonal axes)
Asymmetric unit:
1 Sn 0.0000 0.0000 0.0000
2 Se 0.0000 0.0000 0.4009
3 S 0.0000 0.0000 0.5000

***

4.
Material: SnSeS2
Method: DFT, PBE
State: relaxed

Computed properties:
- total magnetization (μB per formula unit) = 0.0
- ΔE_f (raw) (meV per atom) = -72
- raw total energy (eV/atom) = -4.007

a = 8.002 Å, b = 6.726 Å, c = 3.910 Å
α = 90.00°, β = 90.82°, γ = 90.00°
Space group Cm (No. 8)
Asymmetric unit:
1 Sn 0.000 0.000 0.000
2 Se 0.487 0.000 0.391
3 S 0.156 0.237 0.496

***

5.
Material: Sn5SeS4
Method: DFT, PBE
State: relaxed

Computed properties:
- total magnetization (μB per formula unit) = 0.0
- ΔE_f (raw) (meV per atom) = -402
- raw total energy (eV/atom) = -4.403

a = 4.163 Å, b = 4.163 Å, c = 29.433 Å
α = 90.00°, β = 90.00°, γ = 90.00°
Space group I4/mmm (No. 139)
Asymmetric unit:
1 Sn 0.000 0.000 0.000
2 Sn 0.000 0.000 0.200
3 Sn 0.000 0.000 0.397
4 Se 0.000 0.000 0.500
5 S 0.000 0.000 0.101
6 S 0.000 0.000 0.300

***

6.
Material: SnSeS2
Method: DFT, PBE
State: relaxed

Computed properties:
- total magnetization (μB per formula unit) = 0.0
- ΔE_f (raw) (meV per atom) = 305
- raw total energy (eV/atom) = -3.630

a = 3.5977 Å, b = 3.5977 Å, c = 26.1401 Å
α = 90.00°, β = 90.00°, γ = 120.00°
Space group R-3m (No. 166, hexagonal axes)
Asymmetric unit:
1 Sn 0.0000 0.0000 0.0000
2 Se 0.0000 0.0000 0.5000
3 S 0.0000 0.0000 0.1084

***

7.
Material: SnSeS2
Method: DFT, PBE
State: relaxed

Computed properties:
- total magnetization (μB per formula unit) = 0.0
- ΔE_f (raw) (meV per atom) = -66
- raw total energy (eV/atom) = -4.001

a = 4.236 Å, b = 5.193 Å, c = 5.382 Å
α = 90.34°, β = 109.09°, γ = 100.37°
Space group P1 (No. 1)
Asymmetric unit:
1 Sn 0.000 0.000 0.000
2 Se 0.579 0.328 0.432
3 S 0.558 0.347 0.847
4 S 0.704 0.928 0.395

***

8.
Material: Sn4Se3S2
Method: DFT, PBE
State: relaxed

Computed properties:
- total magnetization (μB per formula unit) = 0.0
- ΔE_f (raw) (meV per atom) = -385
- raw total energy (eV/atom) = -4.243

a = 4.119 Å, b = 7.149 Å, c = 9.210 Å
α = 92.45°, β = 102.87°, γ = 106.52°
Space group P-1 (No. 2)
Asymmetric unit:
1 Sn 0.107 0.389 0.321
2 Sn 0.300 0.203 0.899
3 Se 0.000 0.500 0.000
4 Se 0.380 0.065 0.195
5 S 0.239 0.353 0.625

***

9.
Material: SnSeS2
Method: DFT, PBE
State: relaxed

Computed properties:
- total magnetization (μB per formula unit) = 0.0
- ΔE_f (raw) (meV per atom) = -64
- raw total energy (eV/atom) = -3.999

a = 7.838 Å, b = 7.102 Å, c = 4.030 Å
α = 90.00°, β = 110.00°, γ = 90.00°
Space group Cm (No. 8)
Asymmetric unit:
1 Sn 0.000 0.000 0.000
2 Se 0.145 0.500 0.133
3 S 0.168 0.248 0.496

***

10.
Material: Sn4Se5S
Method: DFT, PBE
State: relaxed

Computed properties:
- total magnetization (μB per formula unit) = 0.0
- ΔE_f (raw) (meV per atom) = -340
- raw total energy (eV/atom) = -4.096

a = 17.507 Å, b = 3.924 Å, c = 8.467 Å
α = 90.00°, β = 101.39°, γ = 90.00°
Space group C2/m (No. 12)
Asymmetric unit:
1 Sn 0.004 0.000 0.260
2 Sn 0.166 0.500 0.076
3 Se 0.000 0.500 0.500
4 Se 0.163 0.000 0.303
5 Se 0.172 0.000 0.842
6 S 0.000 0.500 0.000

***

11.
Material: SnSeS2
Method: DFT, PBE
State: relaxed

Computed properties:
- total magnetization (μB per formula unit) = 0.0
- ΔE_f (raw) (meV per atom) = 185
- raw total energy (eV/atom) = -3.751

a = 5.123 Å, b = 5.123 Å, c = 15.820 Å
α = 90.00°, β = 90.00°, γ = 90.00°
Space group I-42d (No. 122)
Asymmetric unit:
1 Sn 0.000 0.000 0.000
2 Se 0.000 0.000 0.500
3 S 0.218 0.250 0.625

***

12.
Material: Sn5Se4S
Method: DFT, PBE
State: relaxed

Computed properties:
- total magnetization (μB per formula unit) = 0.0
- ΔE_f (raw) (meV per atom) = -422
- raw total energy (eV/atom) = -4.230

a = 4.253 Å, b = 4.253 Å, c = 30.075 Å
α = 90.00°, β = 90.00°, γ = 90.00°
Space group I4/mmm (No. 139)
Asymmetric unit:
1 Sn 0.000 0.000 0.000
2 Sn 0.000 0.000 0.200
3 Sn 0.000 0.000 0.403
4 Se 0.000 0.000 0.099
5 Se 0.000 0.000 0.301
6 S 0.000 0.000 0.500

***

13.
Material: Sn3Se2S2
Method: DFT, PBE
State: relaxed

Computed properties:
- total magnetization (μB per formula unit) = 0.0
- ΔE_f (raw) (meV per atom) = -365
- raw total energy (eV/atom) = -4.256

a = 15.153 Å, b = 3.983 Å, c = 7.012 Å
α = 90.00°, β = 114.06°, γ = 90.00°
Space group C2/m (No. 12)
Asymmetric unit:
1 Sn 0.000 0.000 0.000
2 Sn 0.236 0.500 0.753
3 Se 0.114 0.500 0.279
4 S 0.138 0.000 0.836

***

14.
Material: SnSe3S
Method: DFT, PBE
State: relaxed

Computed properties:
- total magnetization (μB per formula unit) = 3.2
- ΔE_f (raw) (meV per atom) = 837
- raw total energy (eV/atom) = -2.880

a = 5.323 Å, b = 5.323 Å, c = 5.323 Å
α = 90.00°, β = 90.00°, γ = 90.00°
Space group Pm-3m (No. 221)
Asymmetric unit:
1 Sn 0.000 0.000 0.000
2 Se 0.000 0.000 0.500
3 S 0.500 0.500 0.500

***

15.
Material: Sn3Se2S2
Method: DFT, PBE
State: relaxed

Computed properties:
- total magnetization (μB per formula unit) = 0.0
- ΔE_f (raw) (meV per atom) = -385
- raw total energy (eV/atom) = -4.276

a = 3.933 Å, b = 6.673 Å, c = 8.903 Å
α = 104.01°, β = 101.91°, γ = 107.09°
Space group P-1 (No. 2)
Asymmetric unit:
1 Sn 0.000 0.000 0.000
2 Sn 0.474 0.702 0.262
3 Se 0.161 0.030 0.314
4 S 0.332 0.706 0.955

***

16.
Material: SnSeS2
Method: DFT, PBE
State: relaxed

Computed properties:
- total magnetization (μB per formula unit) = 0.0
- ΔE_f (raw) (meV per atom) = -75
- raw total energy (eV/atom) = -4.010

a = 4.497 Å, b = 5.286 Å, c = 5.344 Å
α = 85.36°, β = 66.68°, γ = 67.61°
Space group P1 (No. 1)
Asymmetric unit:
1 Sn 0.000 0.000 0.000
2 Se 0.385 0.368 0.852
3 S 0.366 0.855 0.356
4 S 0.411 0.452 0.416

***

17.
Material: Sn2SeS
Method: DFT, PBE
State: relaxed

Computed properties:
- total magnetization (μB per formula unit) = 0.0
- ΔE_f (raw) (meV per atom) = -371
- raw total energy (eV/atom) = -4.276

a = 4.0731 Å, b = 4.0731 Å, c = 23.4133 Å
α = 90.00°, β = 90.00°, γ = 120.00°
Space group R3m (No. 160, hexagonal axes)
Asymmetric unit:
1 Sn 0.0000 0.0000 0.0000
2 Sn 0.0000 0.0000 0.1764
3 Se 0.0000 0.0000 0.7761
4 S 0.0000 0.0000 0.6052

***

18.
Material: Sn3Se2S
Method: DFT, PBE
State: relaxed

Computed properties:
- total magnetization (μB per formula unit) = 0.0
- ΔE_f (raw) (meV per atom) = -418
- raw total energy (eV/atom) = -4.269

a = 4.226 Å, b = 5.989 Å, c = 12.715 Å
α = 90.00°, β = 90.00°, γ = 90.00°
Space group Immm (No. 71)
Asymmetric unit:
1 Sn 0.000 0.000 0.000
2 Sn 0.000 0.000 0.340
3 Se 0.000 0.500 0.331
4 S 0.000 0.500 0.000

***

19.
Material: SnSe2S
Method: DFT, PBE
State: relaxed

Computed properties:
- total magnetization (μB per formula unit) = 0.0
- ΔE_f (raw) (meV per atom) = 367
- raw total energy (eV/atom) = -3.407

a = 6.950 Å, b = 6.950 Å, c = 6.950 Å
α = 90.00°, β = 90.00°, γ = 90.00°
Space group Fm-3m (No. 225)
Asymmetric unit:
1 Sn 0.000 0.000 0.000
2 Se 0.250 0.250 0.250
3 S 0.000 0.000 0.500

***

20.
Material: Sn2SeS
Method: DFT, PBE
State: relaxed

Computed properties:
- total magnetization (μB per formula unit) = 0.0
- ΔE_f (raw) (meV per atom) = -416
- raw total energy (eV/atom) = -4.321

a = 4.2029 Å, b = 4.2029 Å, c = 20.5817 Å
α = 90.00°, β = 90.00°, γ = 120.00°
Space group R-3m (No. 166, hexagonal axes)
Asymmetric unit:
1 Sn 0.0000 0.0000 0.2466
2 Se 0.0000 0.0000 0.0000
3 S 0.0000 0.0000 0.5000

***

21.
Material: Sn2SeS2
Method: DFT, PBE
State: relaxed

Computed properties:
- total magnetization (μB per formula unit) = 0.0
- ΔE_f (raw) (meV per atom) = -338
- raw total energy (eV/atom) = -4.287

a = 3.9307 Å, b = 3.9307 Å, c = 29.3182 Å
α = 90.00°, β = 90.00°, γ = 120.00°
Space group R-3m (No. 166, hexagonal axes)
Asymmetric unit:
1 Sn 0.0000 0.0000 0.1029
2 Se 0.0000 0.0000 0.5000
3 S 0.0000 0.0000 0.2771

***

22.
Material: Sn4Se3S
Method: DFT, PBE
State: relaxed

Computed properties:
- total magnetization (μB per formula unit) = 0.0
- ΔE_f (raw) (meV per atom) = -425
- raw total energy (eV/atom) = -4.249

a = 7.342 Å, b = 8.489 Å, c = 7.351 Å
α = 90.00°, β = 109.47°, γ = 90.00°
Space group P2/c (No. 13)
Asymmetric unit:
1 Sn 0.243 0.123 0.003
2 Sn 0.246 0.369 0.494
3 Se 0.000 0.374 0.750
4 Se 0.500 0.125 0.750
5 Se 0.500 0.372 0.250
6 S 0.000 0.128 0.250

***

23.
Material: SnSeS2
Method: DFT, PBE
State: relaxed

Computed properties:
- total magnetization (μB per formula unit) = 0.0
- ΔE_f (raw) (meV per atom) = 369
- raw total energy (eV/atom) = -3.566

a = 6.814 Å, b = 6.814 Å, c = 6.814 Å
α = 90.00°, β = 90.00°, γ = 90.00°
Space group Fm-3m (No. 225)
Asymmetric unit:
1 Sn 0.000 0.000 0.000
2 Se 0.000 0.000 0.500
3 S 0.250 0.250 0.250

***

24.
Material: Sn4Se3S
Method: DFT, PBE
State: relaxed

Computed properties:
- total magnetization (μB per formula unit) = 0.0
- ΔE_f (raw) (meV per atom) = -424
- raw total energy (eV/atom) = -4.248

a = 12.035 Å, b = 6.048 Å, c = 6.050 Å
α = 90.00°, β = 90.00°, γ = 90.00°
Space group Pmn2_1 (No. 31)
Asymmetric unit:
1 Sn 0.000 0.227 0.000
2 Sn 0.000 0.761 0.479
3 Sn 0.246 0.754 0.000
4 Se 0.000 0.242 0.517
5 Se 0.250 0.246 0.016
6 S 0.000 0.777 0.028

***

25.
Material: SnSeS2
Method: DFT, PBE
State: relaxed

Computed properties:
- total magnetization (μB per formula unit) = 0.0
- ΔE_f (raw) (meV per atom) = -73
- raw total energy (eV/atom) = -4.009

a = 4.007 Å, b = 4.080 Å, c = 6.380 Å
α = 92.90°, β = 103.11°, γ = 90.56°
Space group P-1 (No. 2)
Asymmetric unit:
1 Sn 0.000 0.000 0.000
2 Se 0.500 0.500 0.000
3 S 0.170 0.132 0.449

***

26.
Material: SnSeS2
Method: DFT, PBE
State: relaxed

Computed properties:
- total magnetization (μB per formula unit) = 0.0
- ΔE_f (raw) (meV per atom) = -13
- raw total energy (eV/atom) = -3.949

a = 3.737 Å, b = 3.737 Å, c = 13.158 Å
α = 90.00°, β = 90.00°, γ = 90.00°
Space group I4mm (No. 107)
Asymmetric unit:
1 Sn 0.000 0.000 0.000
2 Se 0.000 0.000 0.262
3 S 0.000 0.000 0.532
4 S 0.000 0.000 0.793